# 1
Material: Zn2TeP2
Method: DFT, PBE
State: optimized geometry

Summary:
formation energy without anion corrections	0.219	eV/atom

a = 3.6161 Å, b = 3.6161 Å, c = 7.5642 Å
α = 76.17°, β = 76.17°, γ = 90.00°
Closest atoms and distances in Å follow each position.
Atoms (fractional coordinates):
Zn 0.6040 0.6040 0.7919  4 P 2.75, 4 Te 2.96, 1 Zn 2.96
Te 0.0000 0.0000 0.0000  8 Zn 2.96
P 0.7500 0.2500 0.5000  4 P 2.56, 4 Zn 2.75
P 0.2500 0.7500 0.5000  4 P 2.56, 4 Zn 2.75
Zn 0.3960 0.3960 0.2081  4 P 2.75, 4 Te 2.96, 1 Zn 2.96


# 2
Material: AcFeTe
Method: DFT, PBE
State: optimized geometry

Summary:
formation energy without anion corrections	-0.549	eV/atom

a = 6.5036 Å, b = 6.5035 Å, c = 8.1981 Å
α = 111.08°, β = 90.00°, γ = 90.00°
Closest atoms and distances in Å follow each position.
Atoms (fractional coordinates):
Te 0.8693 0.3500 0.2766  2 Fe 2.71-2.73
Te 0.3693 0.6500 0.2234  2 Fe 2.71-2.73
Fe 0.4017 0.8505 0.9835  1 Fe 2.26
Te 0.6307 0.3500 0.7766  2 Fe 2.71-2.73
Fe 0.9017 0.1495 0.5165  1 Fe 2.26
Te 0.1307 0.6500 0.7234  2 Fe 2.71-2.73
Ac 0.8566 0.7958 0.1284  4 Fe 3.20-3.25, 4 Te 3.37-3.58
Fe 0.0983 0.8505 0.4835  1 Fe 2.26
Fe 0.5983 0.1495 0.0165  1 Fe 2.26
Ac 0.3566 0.2042 0.3716  4 Fe 3.20-3.25, 4 Te 3.37-3.58
Ac 0.1434 0.2042 0.8716  4 Fe 3.20-3.25, 4 Te 3.37-3.58
Ac 0.6434 0.7958 0.6284  4 Fe 3.20-3.25, 4 Te 3.37-3.58


# 3
Material: Sn6Se5I
Method: DFT, PBE
State: optimized geometry

Summary:
formation energy without anion corrections	-0.358	eV/atom

a = 7.5499 Å, b = 7.5625 Å, c = 7.5817 Å
α = 60.08°, β = 80.35°, γ = 70.36°
Closest atoms and distances in Å follow each position.
Atoms (fractional coordinates):
Se 0.0000 0.6664 0.6671  6 Sn 3.03-3.07
Sn 0.7431 0.7235 0.0000  5 Se 2.88-3.11
Se 0.5000 0.8383 0.3235  6 Sn 2.89-3.14
Sn 0.7356 0.0896 0.3619  5 Se 2.89-3.14
Sn 0.2644 0.9104 0.6381  5 Se 2.89-3.14
Sn 0.7356 0.4515 0.6381  5 Se 2.89-3.14
Se 0.5000 0.5000 0.0000  6 Sn 2.88-3.12
Se 0.5000 0.1617 0.6765  6 Sn 2.89-3.14
I 0.0000 0.0000 0.0000  6 Sn 3.30-3.33
Sn 0.2569 0.2765 0.0000  5 Se 2.88-3.11
Se 0.0000 0.3336 0.3329  6 Sn 3.03-3.07
Sn 0.2644 0.5485 0.3619  5 Se 2.89-3.14


# 4
Material: RbSb3Au
Method: DFT, PBE
State: optimized geometry

Summary:
energy relative to the lowest polymorph listed for this composition	14	kJ/mol of formula units
formation energy without anion corrections	-0.153	eV/atom

a = 8.3034 Å, b = 8.3034 Å, c = 8.3033 Å
α = 62.36°, β = 62.36°, γ = 62.36°
Closest atoms and distances in Å follow each position.
Atoms (fractional coordinates):
Rb 0.2998 0.2998 0.2998  1 Au 3.30
Au 0.8653 0.8653 0.8653  3 Sb 2.69
Sb 0.3031 0.3029 0.7631  1 Au 2.69, 2 Sb 2.87
Sb 0.6971 0.2369 0.6969  1 Au 2.69, 2 Sb 2.87
Sb 0.2369 0.6969 0.6971  1 Au 2.69, 2 Sb 2.87
Sb 0.7631 0.3031 0.3029  1 Au 2.69, 2 Sb 2.87
Rb 0.7002 0.7002 0.7002  1 Au 3.30
Sb 0.6969 0.6971 0.2369  1 Au 2.69, 2 Sb 2.87
Au 0.1347 0.1347 0.1347  3 Sb 2.69
Sb 0.3029 0.7631 0.3031  1 Au 2.69, 2 Sb 2.87


# 5
Material: PrDy2H
Method: DFT, PBE
State: optimized geometry

a = 3.5112 Å, b = 3.5112 Å, c = 9.7796 Å
α = 79.66°, β = 79.66°, γ = 60.00°
Closest atoms and distances in Å follow each position.
Atoms (fractional coordinates):
Pr 0.0000 0.0000 0.0000  2 Dy 3.46, 6 Pr 3.51
H 0.5000 0.5000 0.5000  6 Dy 2.42
Dy 0.1205 0.1205 0.6386  3 H 2.42
Dy 0.8795 0.8795 0.3614  3 H 2.42


# 6
Material: ScTe2As
Method: DFT, PBE
State: optimized geometry

Summary:
formation energy without anion corrections	-0.368	eV/atom

a = 3.6445 Å, b = 3.6445 Å, c = 7.1605 Å
α = 90.00°, β = 90.00°, γ = 90.01°
Closest atoms and distances in Å follow each position.
Atoms (fractional coordinates):
Sc 0.5000 0.5000 0.7500  8 Te 3.05
As 0.5000 0.5000 0.2500  8 Te 3.23, 2 Sc 3.58
Te 0.0000 0.0000 0.9771  4 Sc 3.05, 4 As 3.23, 1 Te 3.25
Te 0.0000 0.0000 0.5229  4 Sc 3.05, 4 As 3.23, 1 Te 3.25


# 7
Material: MgCoAu2
Method: DFT, PBE
State: optimized geometry

Summary:
formation enthalpy at 0 K	-0.088	eV per atom

a = 4.9567 Å, b = 4.9567 Å, c = 4.7831 Å
α = 78.17°, β = 78.17°, γ = 34.25°
Closest atoms and distances in Å follow each position.
Atoms (fractional coordinates):
Co 0.4992 0.4992 0.4746  7 Au 2.70-2.81, 2 Mg 2.83, 2 Co 2.92
Au 0.2413 0.2413 0.2868  3 Co 2.70-2.78, 4 Mg 2.74-2.87, 5 Au 2.92-2.99
Mg 0.7555 0.7555 0.7646  7 Au 2.74-2.87, 3 Co 2.83-3.04, 2 Mg 2.92
Au 0.0039 0.0039 0.9740  3 Mg 2.75-2.79, 4 Co 2.80-2.81, 5 Au 2.92-2.99


# 8
Material: Zr2InFe
Method: DFT, PBE
State: optimized geometry

Summary:
formation enthalpy at 0 K	0.165	eV per atom

a = 7.5635 Å, b = 7.5635 Å, c = 6.0593 Å
α = 51.38°, β = 51.38°, γ = 90.00°
Closest atoms and distances in Å follow each position.
Atoms (fractional coordinates):
Zr 0.3750 0.4350 0.7500  2 Fe 2.48
Zr 0.8750 0.8150 0.7500  2 Fe 2.48
In 0.7500 0.2500 0.5000  2 Fe 2.85, 4 Zr 3.10
Zr 0.1850 0.6250 0.2500  2 Fe 2.48
Fe 0.5000 0.5000 0.0000  4 Zr 2.48
Zr 0.5650 0.1250 0.2500  2 Fe 2.48
In 0.0000 0.0000 0.0000  2 Fe 2.85, 4 Zr 3.10
Fe 0.2500 0.7500 0.5000  4 Zr 2.48


# 9
Material: La2Sm6Dy3Er
Method: DFT, PBE
State: optimized geometry

Summary:
formation enthalpy at 0 K	0.020	eV per atom

a = 6.2692 Å, b = 6.2692 Å, c = 12.0001 Å
α = 95.01°, β = 95.01°, γ = 120.00°
Closest atoms and distances in Å follow each position.
Atoms (fractional coordinates):
Dy 0.1662 0.8338 0.5000  6 Sm 3.57-3.59, 6 Dy 3.61-3.62
Sm 0.0849 0.4165 0.2540  3 Dy 3.58-3.59, 6 Sm 3.60-3.63, 1 Er 3.65, 2 La 3.66
Dy 0.5000 0.5000 0.5000  6 Sm 3.58, 6 Dy 3.62
Sm 0.2468 0.2468 0.7457  3 Dy 3.57-3.58, 6 Sm 3.60-3.63, 1 Er 3.65, 2 La 3.66
Sm 0.5835 0.9151 0.7460  3 Dy 3.58-3.59, 6 Sm 3.60-3.63, 1 Er 3.65, 2 La 3.66
La 0.6666 0.3334 0.0000  3 La 3.62, 3 Er 3.62, 6 Sm 3.66
Sm 0.4165 0.0849 0.2540  3 Dy 3.58-3.59, 6 Sm 3.60-3.63, 1 Er 3.65, 2 La 3.66
Dy 0.8338 0.1662 0.5000  6 Sm 3.57-3.59, 6 Dy 3.61-3.62
La 0.3334 0.6666 0.0000  3 La 3.62, 3 Er 3.62, 6 Sm 3.66
Sm 0.7532 0.7532 0.2543  3 Dy 3.57-3.58, 6 Sm 3.60-3.63, 1 Er 3.65, 2 La 3.66
Er 0.0000 0.0000 0.0000  6 La 3.62, 6 Sm 3.65
Sm 0.9151 0.5835 0.7460  3 Dy 3.58-3.59, 6 Sm 3.60-3.63, 1 Er 3.65, 2 La 3.66


# 10
Material: BaTaMn
Method: DFT, PBE
State: optimized geometry

Summary:
energy relative to the lowest polymorph listed for this composition	200	kJ/mol of formula units
formation enthalpy at 0 K	1.362	eV per atom

a = 4.8353 Å, b = 4.8353 Å, c = 4.8353 Å
α = 60.00°, β = 60.00°, γ = 60.00°
Closest atoms and distances in Å follow each position.
Atoms (fractional coordinates):
Ta 0.0000 0.0000 0.0000  4 Mn 2.96
Mn 0.7500 0.7500 0.7500  4 Ba 2.96, 4 Ta 2.96
Ba 0.5000 0.5000 0.5000  4 Mn 2.96


# 11
Material: Sr2TeI
Method: DFT, PBE
State: optimized geometry

Summary:
energy relative to the lowest polymorph listed for this composition	0	kJ/mol of formula units
formation energy without anion corrections	-1.425	eV/atom

a = 4.7881 Å, b = 4.7881 Å, c = 8.1309 Å
α = 72.88°, β = 72.88°, γ = 60.00°
Closest atoms and distances in Å follow each position.
Atoms (fractional coordinates):
Sr 0.7433 0.7433 0.7701  3 Te 3.28, 3 I 3.45
I 0.5000 0.5000 0.5000  6 Sr 3.45
Sr 0.2567 0.2567 0.2299  3 Te 3.28, 3 I 3.45
Te 0.0000 0.0000 0.0000  6 Sr 3.28


# 12
Material: TbPr2Eu
Method: DFT, PBE
State: optimized geometry

Summary:
energy relative to the lowest polymorph listed for this composition	37	kJ/mol of formula units
formation enthalpy at 0 K	0.128	eV per atom

a = 3.6296 Å, b = 3.6296 Å, c = 13.0475 Å
α = 82.00°, β = 82.00°, γ = 60.00°
Closest atoms and distances in Å follow each position.
Atoms (fractional coordinates):
Eu 0.0000 0.0000 0.0000  2 Pr 3.52, 6 Eu 3.63
Tb 0.5000 0.5000 0.5000  6 Pr 3.60, 6 Tb 3.63
Pr 0.9090 0.9090 0.2730  1 Eu 3.52, 3 Tb 3.60, 6 Pr 3.63
Pr 0.0910 0.0910 0.7270  1 Eu 3.52, 3 Tb 3.60, 6 Pr 3.63


# 13
Material: Sc2CrP
Method: DFT, PBE
State: optimized geometry

Summary:
formation enthalpy at 0 K	-0.355	eV per atom

a = 3.1146 Å, b = 3.1146 Å, c = 7.1944 Å
α = 90.00°, β = 90.00°, γ = 90.00°
Closest atoms and distances in Å follow each position.
Atoms (fractional coordinates):
Cr 0.0000 0.0000 0.5645  4 P 2.39, 1 Sc 2.66
P 0.5000 0.5000 0.6930  4 Cr 2.39
Sc 0.0000 0.0000 0.9338  1 Cr 2.66, 4 P 2.80
Sc 0.5000 0.5000 0.3087  1 P 2.77, 4 Cr 2.87


no.,spin magnetization (μB/cell),electronic total energy (eV/atom)
1,0.00,-3.08
2,8.02,-5.79
3,0.00,-3.94
4,0.00,-3.47
5,0.00,-4.39
6,0.00,-4.68
7,1.56,-3.90
8,0.00,-6.91
9,0.00,-4.69
10,0.33,-6.29
11,0.00,-3.44
12,7.90,-5.99
13,0.03,-7.28